Si2AsOs | Alexandria via LeMat-Bulk | PBEsol | optimized geometry; raw formation energy = 332.0 meV/atom; space group = I-4m2
1.0
4.2402 0.0000 0.0000
-2.1201 3.8212 0.0014
0.0000 -2.3539 3.5269
Os As Si
1 1 2
Direct
0.2500 0.5000 0.7500
0.5000 0.0000 0.5000
0.7500 0.5000 0.2500
0.0000 0.0000 0.0000

---

Na2PbO3 | Alexandria via LeMat-Bulk | PBEsol | optimized geometry; raw formation energy = -1302.6 meV/atom; space group = C2/c
1.0
-5.4121 1.6943 -0.0798
0.3537 -2.2511 5.2780
2.7080 4.9745 -0.9856
O Pb Na
6 2 4
Direct
0.0150 0.2887 0.1414
0.9850 0.7113 0.8586
0.5150 0.1414 0.2887
0.0000 0.0000 0.5000
0.5000 0.5000 0.0000
0.4850 0.8586 0.7113
0.2500 0.0900 0.9100
0.7500 0.9100 0.0900
0.7500 0.2566 0.7434
0.2500 0.4172 0.5828
0.7500 0.5828 0.4172
0.2500 0.7434 0.2566

---

MgScTaSe2 | Alexandria via LeMat-Bulk | PBEsol | optimized geometry; raw formation energy = 749.4 meV/atom; space group = P4/mmm
1.0
4.8008 0.0000 0.0000
0.0000 4.8008 0.0000
0.0000 0.0000 4.9780
Ta Se Mg Sc
1 2 1 1
Direct
0.0000 0.0000 0.5000
0.5000 0.0000 0.0000
0.0000 0.5000 0.0000
0.0000 0.0000 0.0000
0.5000 0.5000 0.5000

---

BaMn2 | Alexandria via LeMat-Bulk | PBEsol | optimized geometry; space group = I4/mmm; formation enthalpy at 0 K = 0.97 eV/atom
1.0
3.5896 0.0000 0.0000
0.0000 3.5896 0.0000
-1.7948 -1.7948 5.6647
Ba Mn
1 2
Direct
0.0000 0.0000 0.0000
0.2931 0.2931 0.5862
0.7069 0.7069 0.4138

---

TaTl2Cr | Alexandria via LeMat-Bulk | PBEsol | optimized geometry; space group = Imm2; formation enthalpy at 0 K = 0.63 eV/atom
1.0
3.0850 0.0000 0.0000
0.0000 4.8004 0.0000
-1.5425 -2.4002 5.2392
Cr Ta Tl
1 1 2
Direct
0.5227 0.5227 0.0454
0.2049 0.7049 0.4098
0.9947 0.9947 0.9893
0.7777 0.2777 0.5554

---

BaCa2Tl | Alexandria via LeMat-Bulk | PBEsol | optimized geometry; space group = P4/mmm; formation enthalpy at 0 K = -0.23 eV/atom
1.0
-1.4453 -1.2271 3.3620
-2.0557 -2.6834 -1.8631
7.7168 -6.5543 0.9252
Tl Ca Ba
1 2 1
Direct
0.5000 0.5000 0.0000
0.0000 0.0000 0.8181
0.0000 0.0000 0.1819
0.5000 0.5000 0.5000

---

Ba2ZnCr | Alexandria via LeMat-Bulk | PBEsol | optimized geometry; space group = F-43m; formation enthalpy at 0 K = 0.50 eV/atom
1.0
5.4565 0.0000 0.0000
2.7282 4.7255 0.0000
2.7282 1.5752 4.4552
Cr Ba Zn
1 2 1
Direct
0.5000 0.5000 0.5000
0.0000 0.0000 0.0000
0.7500 0.7500 0.7500
0.2500 0.2500 0.2500

---

Mg2Si2Ru | Alexandria via LeMat-Bulk | PBEsol | optimized geometry; raw formation energy = -286.1 meV/atom; space group = P4/mbm
1.0
-3.7878 -0.8326 -1.1293
-0.7926 -3.4289 5.1869
-2.0278 5.0855 3.0520
Si Ru Mg
4 2 4
Direct
0.0000 0.8669 0.6331
0.0000 0.3669 0.8669
0.0000 0.1331 0.3669
0.0000 0.6331 0.1331
0.0000 0.0000 0.0000
0.0000 0.5000 0.5000
0.5000 0.8234 0.3234
0.5000 0.3234 0.1766
0.5000 0.1766 0.6766
0.5000 0.6766 0.8234